Entry 1:
VASP calculation (PBE) on a relaxed KAg2Ru crystal.

For the total energy, the calculation gives -3.355 eV/atom. As for the crystal system: tetragonal. As for the excess energy over the best structure of this formula in the dataset: 91.1 meV per atom. The calculated formation energy comes out at 0.664 eV/atom. The value obtained for the density of states at the Fermi level is 0.6758 states/eV per atom.

The structure belongs to space group P4/mmm (No. 123); the cell edges are 5.3513, 5.3513 and 2.7446 Å and the angles 90.00°, 90.00° and 90.00°. Symmetry generates all atoms from K at (0.0000, 0.0000, 0.0000), Ag at (0.0000, 0.5000, 0.5000) and Ru at (0.5000, 0.5000, 0.0000).

***

Entry 2:
VASP calculation (PBE) on a relaxed KAg2Ru crystal.

For the total energy, the calculation gives -3.329 eV/atom. As for the crystal system: orthorhombic. As for the excess energy over the best structure of this formula in the dataset: 117.3 meV per atom. The calculated formation energy comes out at 0.690 eV/atom. The value obtained for the density of states at the Fermi level is 0.5844 states/eV per atom.

The structure belongs to space group Imm2 (No. 44); the cell edges are 2.7521, 5.3704 and 11.0870 Å and the angles 90.00°, 90.00° and 90.00°. Symmetry generates all atoms from K at (0.0000, 0.0000, 0.0000), Ag at (0.0000, 0.0000, 0.4930), Ag at (0.0000, 0.5000, 0.2246) and Ru at (0.0000, 0.5000, 0.7755).

***

Entry 3:
VASP calculation (PBE) on a relaxed KAg2Ru crystal.

For the total energy, the calculation gives -3.026 eV/atom. As for the crystal system: cubic. As for the excess energy over the best structure of this formula in the dataset: 420.3 meV per atom. The calculated formation energy comes out at 0.993 eV/atom. The value obtained for the density of states at the Fermi level is 1.5913 states/eV per atom.

The structure belongs to space group F-43m (No. 216); the cell edges are 6.9088, 6.9088 and 6.9088 Å and the angles 90.00°, 90.00° and 90.00°. Symmetry generates all atoms from K at (0.0000, 0.0000, 0.0000), Ag at (0.0000, 0.0000, 0.5000), Ag at (0.2500, 0.2500, 0.2500) and Ru at (0.2500, 0.2500, 0.7500).